DyEr2Cu4Si4 PBE optimized geometry; electronic total energy = -5.214 eV per atom; total magnetic moment = 0.00 Bohr magnetons per cell
1.0
-2.0486 3.2638 6.7984
2.0486 -3.2638 6.7984
2.0486 3.2638 -6.7984
Dy Er Cu Si
1 2 4 4
direct
0.0000 0.0000 0.0000 Dy
0.3708 0.8708 0.5000 Er
0.6292 0.1292 0.5000 Er
0.0222 0.3307 0.6915 Cu
0.3609 0.6693 0.6915 Cu
0.6391 0.3307 0.3085 Cu
0.9778 0.6693 0.3085 Cu
0.2169 0.2169 0.0000 Si
0.3157 0.5000 0.8157 Si
0.6843 0.5000 0.1843 Si
0.7831 0.7831 0.0000 Si